Density functional theory data (GGA+U) for a relaxed structure of LiCoP3O9.

Output
Space group = Pbcm (57)
VASP energy = -0.507 Ry per atom

Cell lengths 5.1767, 12.1118, 13.2391 Å; angles 90.00, 90.00, 90.00 degrees
Sites, in units of the cell vectors:
O 0.7204 0.0077 0.8824
O 0.5614 0.1400 0.7500
O 0.2315 0.0544 0.6319
O 0.0967 0.8440 0.9532
O 0.2315 0.0544 0.8681
O 0.2315 0.4456 0.3681
O 0.5467 0.2971 0.4212
O 0.9033 0.1560 0.4532
O 0.2796 0.5077 0.6176
O 0.2796 0.9923 0.1176
O 0.2796 0.9923 0.3824
O 0.4533 0.7029 0.5788
O 0.9033 0.1560 0.0468
O 0.7204 0.0077 0.6176
O 0.7685 0.5544 0.8681
O 0.0967 0.6560 0.0468
O 0.4386 0.6400 0.7500
O 0.7685 0.5544 0.6319
O 0.2315 0.4456 0.1319
O 0.9033 0.3440 0.9532
O 0.9033 0.3440 0.5468
O 0.7204 0.4923 0.3824
O 0.0967 0.6560 0.4532
O 0.4533 0.7971 0.0788
O 0.5614 0.3600 0.2500
O 0.2796 0.5077 0.8824
O 0.0967 0.8440 0.5468
O 0.5467 0.2029 0.5788
O 0.4386 0.8600 0.2500
O 0.7685 0.9456 0.3681
O 0.7204 0.4923 0.1176
O 0.5467 0.2971 0.0788
O 0.4533 0.7971 0.4212
O 0.4533 0.7029 0.9212
O 0.5467 0.2029 0.9212
O 0.7685 0.9456 0.1319
Li 0.0037 0.9922 0.2500
Li 0.9963 0.4922 0.2500
Li 0.9963 0.0078 0.7500
Li 0.0037 0.5078 0.7500
P 0.2419 0.7500 0.5000
P 0.4907 0.9095 0.3610
P 0.7581 0.2500 0.5000
P 0.7581 0.2500 0.0000
P 0.4907 0.9095 0.1390
P 0.5093 0.4095 0.3610
P 0.5093 0.0905 0.6390
P 0.5093 0.0905 0.8610
P 0.5093 0.4095 0.1390
P 0.4907 0.5905 0.8610
P 0.2419 0.7500 0.0000
P 0.4907 0.5905 0.6390
Co 0.0000 0.5000 0.0000
Co 0.0000 0.5000 0.5000
Co 0.0000 0.0000 0.0000
Co 0.0000 0.0000 0.5000